Record 1
LiTa2Sn | PBE | optimized geometry

Values from the calculation:
The formation energy comes out at 2.65 eV per formula unit. Its crystal system is tetragonal.

a = 5.9119 Å, b = 5.9119 Å, c = 5.9119 Å
α = 102.32°, β = 102.32°, γ = 124.97°
Closest atoms and distances in Å follow each position.
Fractional positions:
1 Li 0.0000 0.0000 0.0000  4 Ta 2.63, 2 Sn 2.73
2 Li 0.7500 0.2500 0.5000  4 Ta 2.63, 2 Sn 2.73
3 Ta 0.1093 0.6250 0.9843  2 Li 2.63, 2 Ta 2.74, 2 Sn 2.79
4 Ta 0.3750 0.3593 0.4843  2 Li 2.63, 2 Ta 2.74, 2 Sn 2.79
5 Ta 0.6407 0.1250 0.0157  2 Li 2.63, 2 Ta 2.74, 2 Sn 2.79
6 Ta 0.8750 0.8907 0.5157  2 Li 2.63, 2 Ta 2.74, 2 Sn 2.79
7 Sn 0.2500 0.7500 0.5000  2 Li 2.73, 4 Ta 2.79
8 Sn 0.5000 0.5000 0.0000  2 Li 2.73, 4 Ta 2.79

=====

Record 2
KInSbS3 | PBE | optimized geometry

Values from the calculation:
As for the energy relative to the elements, uncorrected: -51.2 kJ per mole of atoms. Its crystal system is monoclinic.

a = 8.4931 Å, b = 4.5726 Å, c = 9.8431 Å
α = 90.00°, β = 98.08°, γ = 90.00°
Closest atoms and distances in Å follow each position.
Fractional positions:
1 K 0.1569 0.2500 0.1873  5 S 3.23-3.54
2 K 0.8431 0.7500 0.8127  5 S 3.23-3.54
3 In 0.1309 0.2500 0.5835  4 S 2.55-2.68
4 In 0.8691 0.7500 0.4165  4 S 2.55-2.68
5 Sb 0.3605 0.7500 0.8640  1 S 2.41
6 Sb 0.6395 0.2500 0.1360  1 S 2.41
7 S 0.1643 0.2500 0.8453  1 In 2.55, 2 Sb 2.82
8 S 0.1868 0.7500 0.4796  3 In 2.58-2.68
9 S 0.3994 0.7500 0.1117  1 Sb 2.41
10 S 0.6006 0.2500 0.8883  1 Sb 2.41
11 S 0.8132 0.2500 0.5204  3 In 2.58-2.68
12 S 0.8357 0.7500 0.1547  1 In 2.55, 2 Sb 2.82

=====

Record 3
Ni12Sn3Mo | PBE | optimized geometry

Values from the calculation:
The formation energy comes out at -2.28 eV per formula unit. Its crystal system is tetragonal.

a = 3.7130 Å, b = 3.7130 Å, c = 14.7992 Å
α = 90.00°, β = 90.00°, γ = 90.00°
Closest atoms and distances in Å follow each position.
Fractional positions:
1 Ni 0.0000 0.0000 0.0000  8 Ni 2.53, 4 Mo 2.63
2 Ni 0.0000 0.0000 0.2443  4 Sn 2.63, 8 Ni 2.65-2.66
3 Ni 0.0000 0.0000 0.5000  4 Sn 2.63, 8 Ni 2.64
4 Ni 0.0000 0.0000 0.7557  4 Sn 2.63, 8 Ni 2.65-2.66
5 Ni 0.0000 0.5000 0.1166  2 Mo 2.53, 8 Ni 2.53-2.65, 2 Sn 2.69
6 Ni 0.0000 0.5000 0.3729  4 Sn 2.62-2.64, 8 Ni 2.63-2.66
7 Ni 0.0000 0.5000 0.6271  4 Sn 2.62-2.64, 8 Ni 2.63-2.66
8 Ni 0.0000 0.5000 0.8834  8 Ni 2.53-2.65, 2 Mo 2.53, 2 Sn 2.69
9 Ni 0.5000 0.0000 0.1166  2 Mo 2.53, 8 Ni 2.53-2.65, 2 Sn 2.69
10 Ni 0.5000 0.0000 0.3729  4 Sn 2.62-2.64, 8 Ni 2.63-2.66
11 Ni 0.5000 0.0000 0.6271  4 Sn 2.62-2.64, 8 Ni 2.63-2.66
12 Ni 0.5000 0.0000 0.8834  8 Ni 2.53-2.65, 2 Mo 2.53, 2 Sn 2.69
13 Sn 0.5000 0.5000 0.2483  12 Ni 2.62-2.69
14 Sn 0.5000 0.5000 0.5000  12 Ni 2.63-2.64
15 Sn 0.5000 0.5000 0.7517  12 Ni 2.62-2.69
16 Mo 0.5000 0.5000 0.0000  12 Ni 2.53-2.63

=====

| no. | total magnetization (μB per atom) | Fermi-level density of states (states/eV/cell) |
| --- | --- | --- |
| 1 | 0.00 | 4.079 |
| 2 | 0.00 | 4.102 |
| 3 | 0.00 | 9.781 |